A plane-wave DFT calculation with PBE-GGA was carried out for a relaxed structure of Ba2SrSbO2.

Fermi-level density of states = 4.48 states/eV per cell
Theoretical density = 5.026 g/cm3
Formation energy without anion corrections = -1.879 eV per atom
Symmetry = No. 123
Size of the total moment = 0.29 μB per formula unit
Energy = -5.140 eV/atom

Cell lengths 4.7177, 4.7177, 7.6611 Å; angles 90.00, 90.00, 90.00 degrees
Closest atoms and distances in Å follow each position.
Fractional positions:
1 Sr 0.0000 0.0000 0.0000  4 O 2.36
2 O 0.0000 0.5000 0.0000  2 Sr 2.36
3 O 0.5000 0.0000 0.0000  2 Sr 2.36
4 Sb 0.0000 0.0000 0.5000  2 Sr 3.83, 8 Ba 3.95
5 Ba 0.5000 0.5000 0.2230  4 O 2.91
6 Ba 0.5000 0.5000 0.7770  4 O 2.91